Entry 1:
# Cd3P

A geometry-optimized Cd3P structure (PBEsol, Alexandria).

Geometry as POSCAR:
```
Cd3P
1.0
2.784 0.000 0.000
0.000 3.723 0.000
0.000 0.000 7.737
Cd P
3 1
Direct
0.000 0.000 0.000
0.500 0.500 0.270
0.500 0.500 0.730
0.000 0.000 0.500
```

The calculation puts the offset from the most stable computed form at 0.000 eV/atom. The symmetry is No. 47. The total energy comes out at -2.164 eV per atom. The calculated formation energy is 17.5 kJ/mol of atoms.

---

Entry 2:
# NiAgF3

A geometry-optimized NiAgF3 structure (PBEsol, Alexandria).

Geometry as POSCAR:
```
NiAgF3
1.0
3.927 0.000 0.000
0.000 3.927 0.000
0.000 0.000 3.927
Ni Ag F
1 1 3
Direct
0.000 0.000 0.000
0.500 0.500 0.500
0.000 0.000 0.500
0.000 0.500 0.000
0.500 0.000 0.000
```

The symmetry is No. 221. The total energy comes out at -4.295 eV per atom. The calculation puts the formation energy from raw total energies at -1.24 eV/atom.

---

Entry 3:
# Ca2TcRu

A geometry-optimized Ca2TcRu structure (PBEsol, Alexandria).

Geometry as POSCAR:
```
Ca2TcRu
1.0
-2.025 2.566 4.089
2.025 -2.566 4.089
2.025 2.566 -4.089
Ca Tc Ru
2 1 1
Direct
0.000 0.000 0.000
0.703 0.203 0.500
0.419 0.419 0.000
0.280 0.780 0.500
```

The calculation puts the offset from the most stable computed form at 0.116 eV/atom. The symmetry is No. 44. The total energy comes out at -6.052 eV per atom. The calculated formation energy is 36.1 kJ/mol of atoms.

---

Entry 4:
# TlPIr2

A geometry-optimized TlPIr2 structure (PBEsol, Alexandria).

Geometry as POSCAR:
```
TlPIr2
1.0
2.897 0.000 0.000
0.000 2.929 0.000
-1.231 0.000 7.523
Tl P Ir
1 1 2
Direct
0.000 0.000 0.000
0.500 0.000 0.500
0.071 0.500 0.685
0.929 0.500 0.315
```

The calculation puts the offset from the most stable computed form at 0.034 eV/atom. The symmetry is No. 10. The total energy comes out at -6.911 eV per atom. The calculated formation energy is 10.3 kJ/mol of atoms.

---

Entry 5:
# MgSi2Ir

A geometry-optimized MgSi2Ir structure (PBEsol, Alexandria).

Geometry as POSCAR:
```
MgSi2Ir
1.0
2.867 0.000 0.000
0.000 2.867 0.000
0.000 0.000 7.309
Mg Si Ir
1 2 1
Direct
0.000 0.000 0.000
0.500 0.500 0.283
0.500 0.500 0.717
0.000 0.000 0.500
```

The symmetry is No. 123. The total energy comes out at -5.990 eV per atom. The calculation puts the formation energy from raw total energies at -0.23 eV/atom.

---

Entry 6:
# Ba2LaTaSi

A geometry-optimized Ba2LaTaSi structure (PBEsol, Alexandria).

Geometry as POSCAR:
```
Ba2LaTaSi
1.0
6.088 0.000 0.000
0.000 6.088 0.000
0.000 0.000 5.033
Ba La Ta Si
2 1 1 1
Direct
0.000 0.500 0.000
0.500 0.000 0.000
0.000 0.000 0.000
0.000 0.000 0.500
0.500 0.500 0.500
```

The symmetry is No. 123. The total energy comes out at -4.186 eV per atom. The calculation puts the formation energy from raw total energies at 1.40 eV/atom.

---

Entry 7:
# Al2HAu2

A geometry-optimized Al2HAu2 structure (PBEsol, Alexandria).

Geometry as POSCAR:
```
Al2HAu2
1.0
7.505 0.000 0.000
0.000 7.505 0.000
0.000 0.000 2.832
Al H Au
4 2 4
Direct
0.131 0.369 0.000
0.369 0.869 0.000
0.631 0.131 0.000
0.869 0.631 0.000
0.000 0.000 0.500
0.500 0.500 0.500
0.170 0.670 0.500
0.330 0.170 0.500
0.670 0.830 0.500
0.830 0.330 0.500
```

The calculation puts the offset from the most stable computed form at 0.177 eV/atom. The symmetry is No. 127. The total energy comes out at -3.753 eV per atom.

---

Entry 8:
# MnSbPb2

A geometry-optimized MnSbPb2 structure (PBEsol, Alexandria).

Geometry as POSCAR:
```
MnSbPb2
1.0
3.316 -4.512 0.000
3.316 4.512 0.000
0.000 0.000 3.364
Mn Sb Pb
1 1 2
Direct
0.000 0.000 0.000
0.500 0.500 0.000
0.000 0.500 0.500
0.500 0.000 0.500
```

The symmetry is No. 65. The total energy comes out at -5.147 eV per atom. The calculation puts the formation energy from raw total energies at 0.43 eV/atom.

---

Entry 9:
# LaTa2AgO7

A geometry-optimized LaTa2AgO7 structure (PBEsol, Alexandria).

Geometry as POSCAR:
```
LaTa2AgO7
1.0
-1.942 1.942 10.565
1.942 -1.942 10.565
1.942 1.942 -10.565
La Ta Ag O
1 2 1 7
Direct
0.000 0.000 0.000
0.394 0.394 0.000
0.606 0.606 0.000
0.750 0.250 0.500
0.085 0.585 0.500
0.309 0.309 0.000
0.415 0.915 0.500
0.500 0.500 0.000
0.586 0.086 0.500
0.691 0.691 0.000
0.914 0.414 0.500
```

The symmetry is No. 119. The total energy comes out at -9.043 eV per atom. The calculation puts the formation energy from raw total energies at -2.63 eV/atom.

---

Entry 10:
# CdH2PtAu

A geometry-optimized CdH2PtAu structure (PBEsol, Alexandria).

Geometry as POSCAR:
```
CdH2PtAu
1.0
3.631 0.000 0.000
0.000 3.631 0.000
0.000 0.000 5.645
Cd H Pt Au
1 2 1 1
Direct
0.000 0.000 0.000
0.000 0.500 0.500
0.500 0.000 0.500
0.500 0.500 0.000
0.000 0.000 0.500
```

The symmetry is No. 123. The total energy comes out at -3.254 eV per atom.

---

Entry 11:
# BaGaCoCu2

A geometry-optimized BaGaCoCu2 structure (PBEsol, Alexandria).

Geometry as POSCAR:
```
BaGaCoCu2
1.0
4.637 0.000 0.000
0.000 4.637 0.000
0.000 0.000 5.026
Ba Ga Co Cu
1 1 1 2
Direct
0.000 0.000 0.000
0.500 0.500 0.000
0.000 0.000 0.500
0.000 0.500 0.500
0.500 0.000 0.500
```

The symmetry is No. 123. The total energy comes out at -3.616 eV per atom. The calculated formation energy is 73.6 kJ/mol of atoms.

---

Entry 12:
# Na3Sr4Nd3Ti10O30

A geometry-optimized Na3Sr4Nd3Ti10O30 structure (PBEsol, Alexandria).

Geometry as POSCAR:
```
Na3Sr4Nd3Ti10O30
1.0
5.459 0.000 0.000
-0.046 5.463 0.000
-2.700 -2.687 19.332
Na Sr Nd Ti O
3 4 3 10 30
Direct
0.000 0.000 0.000
0.197 0.207 0.397
0.600 0.605 0.198
0.301 0.297 0.599
0.400 0.393 0.800
0.799 0.798 0.600
0.899 0.895 0.802
0.088 0.114 0.200
0.487 0.512 0.002
0.687 0.712 0.399
0.043 0.560 0.102
0.150 0.661 0.299
0.249 0.750 0.497
0.349 0.845 0.700
0.442 0.953 0.903
0.550 0.062 0.101
0.644 0.159 0.299
0.752 0.251 0.497
0.849 0.346 0.700
0.945 0.454 0.903
0.027 0.453 0.489
0.045 0.517 0.003
0.064 0.554 0.201
0.090 0.612 0.710
0.118 0.108 0.702
0.171 0.164 0.902
0.236 0.652 0.896
0.244 0.707 0.399
0.262 0.844 0.117
0.279 0.770 0.600
0.347 0.337 0.102
0.355 0.341 0.296
0.426 0.910 0.803
0.441 0.840 0.291
0.464 0.958 0.003
0.483 0.017 0.510
0.543 0.525 0.498
0.584 0.574 0.700
0.614 0.072 0.694
0.647 0.113 0.201
0.667 0.240 0.916
0.671 0.152 0.399
0.731 0.723 0.906
0.753 0.743 0.097
0.827 0.306 0.600
0.839 0.242 0.092
0.862 0.443 0.315
0.877 0.376 0.803
0.951 0.937 0.300
0.962 0.945 0.495
```

The symmetry is No. 1. The total energy comes out at -8.454 eV per atom. The calculation puts the formation energy from raw total energies at -3.10 eV/atom.